1.
# PBE-GGA AlSiSe2, optimized geometry
data_AlSiSe2
_symmetry_space_group_name_H-M 'P 4 m m'
_symmetry_Int_Tables_number 99
_symmetry_space_group_name_Hall 'P 4 -2'
_cell_length_a 3.4396
_cell_length_b 3.4396
_cell_length_c 7.4557
_cell_angle_alpha 90.00
_cell_angle_beta 90.00
_cell_angle_gamma 90.00
loop_
_atom_site_label
_atom_site_type_symbol
_atom_site_fract_x
_atom_site_fract_y
_atom_site_fract_z
Al1 Al 0.0000 0.0000 0.0000
Si1 Si 0.5000 0.5000 0.6273
Se1 Se 0.0000 0.0000 0.4874
Se2 Se 0.5000 0.5000 0.1122
# Theoretical density (g/cm³): 4.01
# Total magnetization (μB per formula unit): 0.0
# Raw formation energy (meV/atom): 86
# Offset from the most stable computed form (meV per atom): 455

***

2.
# PBE-GGA Ti2ReHPt, optimized geometry
data_Ti2ReHPt
_symmetry_space_group_name_H-M 'P 4/m m m'
_symmetry_Int_Tables_number 123
_symmetry_space_group_name_Hall '-P 4 2'
_cell_length_a 4.2747
_cell_length_b 4.2747
_cell_length_c 3.5183
_cell_angle_alpha 90.00
_cell_angle_beta 90.00
_cell_angle_gamma 90.00
loop_
_atom_site_label
_atom_site_type_symbol
_atom_site_fract_x
_atom_site_fract_y
_atom_site_fract_z
Ti1 Ti 0.0000 0.5000 0.0000
Re1 Re 0.0000 0.0000 0.5000
H1 H 0.5000 0.5000 0.0000
Pt1 Pt 0.5000 0.5000 0.5000
# Theoretical density (g/cm³): 12.35
# Total magnetization (μB per formula unit): 0.0
# Offset from the most stable computed form (meV per atom): 30

***

3.
# PBE-GGA TbNi3As3, optimized geometry
data_TbNi3As3
_symmetry_space_group_name_H-M 'P m -3 n'
_symmetry_Int_Tables_number 223
_symmetry_space_group_name_Hall '-P 4n 2 3'
_cell_length_a 6.4021
_cell_length_b 6.4021
_cell_length_c 6.4021
_cell_angle_alpha 90.00
_cell_angle_beta 90.00
_cell_angle_gamma 90.00
loop_
_atom_site_label
_atom_site_type_symbol
_atom_site_fract_x
_atom_site_fract_y
_atom_site_fract_z
Tb1 Tb 0.0000 0.0000 0.0000
Ni1 Ni 0.0000 0.2500 0.5000
As1 As 0.0000 0.5000 0.2500
# Formation energy (meV/atom): -328
# Theoretical density (g/cm³): 7.08
# Total magnetization (μB per formula unit): 0.0

***

4.
# PBE-GGA PmEr5Cd6, optimized geometry
data_PmEr5Cd6
_symmetry_space_group_name_H-M 'C m m m'
_symmetry_Int_Tables_number 65
_symmetry_space_group_name_Hall '-C 2 2'
_cell_length_a 5.2634
_cell_length_b 15.8467
_cell_length_c 7.4913
_cell_angle_alpha 90.00
_cell_angle_beta 90.00
_cell_angle_gamma 90.00
loop_
_atom_site_label
_atom_site_type_symbol
_atom_site_fract_x
_atom_site_fract_y
_atom_site_fract_z
Pm1 Pm 0.0000 0.0000 0.0000
Er1 Er 0.0000 0.0000 0.5000
Er2 Er 0.0000 0.3317 0.0000
Er3 Er 0.0000 0.3356 0.5000
Cd1 Cd 0.0000 0.1692 0.2555
Cd2 Cd 0.0000 0.5000 0.2544
# Formation energy (meV/atom): -313
# Theoretical density (g/cm³): 8.80
# Total magnetization (μB per formula unit): 0.0

***

5.
# PBE-GGA KAgI2, optimized geometry
data_KAgI2
_symmetry_space_group_name_H-M 'F m -3 m'
_symmetry_Int_Tables_number 225
_symmetry_space_group_name_Hall '-F 4 2 3'
_cell_length_a 8.1296
_cell_length_b 8.1296
_cell_length_c 8.1296
_cell_angle_alpha 90.00
_cell_angle_beta 90.00
_cell_angle_gamma 90.00
loop_
_atom_site_label
_atom_site_type_symbol
_atom_site_fract_x
_atom_site_fract_y
_atom_site_fract_z
K1 K 0.0000 0.0000 0.0000
Ag1 Ag 0.0000 0.0000 0.5000
I1 I 0.2500 0.2500 0.2500
# Theoretical density (g/cm³): 4.95
# Total magnetization (μB per formula unit): 0.0
# Raw formation energy (meV/atom): -596